An optimized crystal structure of VIn3F, computed with PBE with a Hubbard U.

Crystal system   cubic
Symmetry   Pm-3m (221)
Offset from the most stable computed form   220 meV/atom
Total moment   4.84 μB per cell

Geometry as POSCAR:
```
VIn3F
1.0
5.403 0.000 0.000
0.000 5.403 0.000
0.000 0.000 5.403
In V F
3 1 1
direct
0.000 0.500 0.000
0.500 0.000 0.000
0.000 0.000 0.500
0.000 0.000 0.000
0.500 0.500 0.500
```